CuAg4 | GGA-PBE | relaxed

Cell and atoms, written as POSCAR:
```
CuAg4
1.0
-2.0807 -5.9349 1.0817
5.7419 -1.5974 2.2804
1.2294 -3.2081 3.5859
Ag Cu
4 1
Direct
0.7974 0.6043 0.0000 Ag
0.2026 0.3957 0.0000 Ag
0.6043 0.2026 0.0000 Ag
0.3957 0.7974 0.0000 Ag
0.0000 0.0000 0.0000 Cu
```

Properties
The raw total energy is -15.10 eV/cell. The value obtained for the density of states at the Fermi level is 1.59 states/eV/cell. The energy above the most stable polymorph in this dataset comes out at 0 meV per atom. The formation energy is 0.079 eV per atom.